Entry 1:
Density functional theory data (PBE-GGA) for a relaxed structure of KH2Pt.

Structure (POSCAR):
```
KH2Pt
1.0
0.000 3.006 3.006
3.006 0.000 3.006
3.006 3.006 0.000
H K Pt
2 1 1
direct
0.250 0.250 0.250
0.750 0.750 0.750
0.000 0.000 0.000
0.500 0.500 0.500
```

Summary:
Magnetic moment, μB/f.u.: 0.0
Energy, eV per atom: -2.627
Excess energy over the best structure of this formula in the dataset, meV per atom: 1144.8
Symmetry: Fm-3m

***

Entry 2:
Density functional theory data (PBE-GGA) for a relaxed structure of ZrNb.

Structure (POSCAR):
```
ZrNb
1.0
-5.329 -0.067 3.184
2.777 -3.134 4.583
1.558 5.358 2.721
Nb Zr
4 4
direct
0.500 0.500 0.000
0.000 0.000 0.000
0.000 0.500 0.500
0.500 0.000 0.500
0.250 0.750 0.750
0.750 0.250 0.750
0.750 0.750 0.250
0.250 0.250 0.250
```

Summary:
Magnetic moment, μB/f.u.: 2.0
ΔH_f (0 K), eV per formula unit: 5.0
Energy, eV per atom: -6.797
Symmetry: F-43m

***

Entry 3:
Density functional theory data (PBE-GGA) for a relaxed structure of Rb2BeCo2.

Structure (POSCAR):
```
Rb2BeCo2
1.0
6.108 0.000 0.000
0.000 6.108 0.000
0.000 0.000 5.733
Co Be Rb
4 2 4
direct
0.367 0.867 0.000
0.633 0.133 0.000
0.867 0.633 0.000
0.133 0.367 0.000
0.500 0.500 0.000
0.000 0.000 0.000
0.188 0.688 0.500
0.688 0.812 0.500
0.312 0.188 0.500
0.812 0.312 0.500
```

Summary:
Magnetic moment, μB/f.u.: 2.2
ΔH_f (0 K), eV per formula unit: 4.9
Energy, eV per atom: -2.995
Excess energy over the best structure of this formula in the dataset, meV per atom: 0.0
Symmetry: P4/mbm